[1]
The following is a DFT calculation (PBE) of a geometry-optimized ZnAs2Se structure.

a b c (Å): 11.0632 11.0632 11.0632
angles (deg): 15.39 15.39 15.39
Element x y z (fractional)
1 Zn 0.0000 0.0000 0.0000
2 As 0.2694 0.2694 0.2694
3 As 0.7306 0.7306 0.7306
4 Se 0.5000 0.5000 0.5000

Output
**VASP energy**: -3.138 eV per atom
**Excess energy over the best structure of this formula in the dataset**: 541 meV/atom
**SG**: R-3m
**Raw formation energy**: 0.376 eV per atom



[2]
The following is a DFT calculation (PBE) of a geometry-optimized Sm3Ho12Al structure.

a b c (Å): 4.9323 4.9323 20.0054
angles (deg): 90.00 90.00 90.00
Element x y z (fractional)
1 Sm 0.0000 0.0000 0.0000
2 Sm 0.0000 0.0000 0.2538
3 Sm 0.0000 0.0000 0.7462
4 Ho 0.0000 0.5000 0.1280
5 Ho 0.0000 0.5000 0.3837
6 Ho 0.0000 0.5000 0.6163
7 Ho 0.0000 0.5000 0.8720
8 Ho 0.5000 0.0000 0.1280
9 Ho 0.5000 0.0000 0.3837
10 Ho 0.5000 0.0000 0.6163
11 Ho 0.5000 0.0000 0.8720
12 Ho 0.5000 0.5000 0.0000
13 Ho 0.5000 0.5000 0.2583
14 Ho 0.5000 0.5000 0.5000
15 Ho 0.5000 0.5000 0.7417
16 Al 0.0000 0.0000 0.5000

Output
**VASP energy**: -4.568 eV per atom
**SG**: P4/mmm
**Energy of formation**: -16 meV/atom



[3]
The following is a DFT calculation (PBE) of a geometry-optimized La3Tb2PrS6 structure.

a b c (Å): 7.0443 7.0443 7.0700
angles (deg): 99.58 99.58 120.10
Element x y z (fractional)
1 La 0.0000 0.0000 0.0000
2 La 0.3367 0.6633 0.0000
3 La 0.6633 0.3367 0.0000
4 Tb 0.1666 0.8334 0.5000
5 Tb 0.8334 0.1666 0.5000
6 Pr 0.5000 0.5000 0.5000
7 S 0.0780 0.4207 0.2620
8 S 0.2353 0.2353 0.7347
9 S 0.4207 0.0780 0.2620
10 S 0.5793 0.9220 0.7380
11 S 0.7647 0.7647 0.2653
12 S 0.9220 0.5793 0.7380

Output
**VASP energy**: -6.561 eV per atom
**SG**: C2/m
**Raw formation energy**: -2.095 eV per atom



[4]
The following is a DFT calculation (PBE) of a geometry-optimized KS2N2 structure.

a b c (Å): 4.0925 4.0925 4.7014
angles (deg): 90.00 90.00 90.00
Element x y z (fractional)
1 K 0.0000 0.0000 0.0000
2 S 0.5000 0.5000 0.0000
3 S 0.5000 0.5000 0.5000
4 N 0.0000 0.5000 0.5000
5 N 0.5000 0.0000 0.5000

Output
**VASP energy**: -3.865 eV per atom
**Excess energy over the best structure of this formula in the dataset**: 1660 meV/atom
**SG**: P4/mmm
**Raw formation energy**: 1.335 eV per atom



[5]
The following is a DFT calculation (PBE) of a geometry-optimized NaPd2AuF8 structure.

a b c (Å): 5.0205 5.1651 7.0041
angles (deg): 88.03 87.84 86.89
Element x y z (fractional)
1 Na 0.0000 0.0000 0.0000
2 Pd 0.4992 0.4976 0.7515
3 Pd 0.5008 0.5024 0.2485
4 Au 0.0000 0.0000 0.5000
5 F 0.2115 0.7843 0.7477
6 F 0.2152 0.7925 0.2546
7 F 0.3189 0.3246 0.9800
8 F 0.3201 0.3282 0.4776
9 F 0.6799 0.6718 0.5224
10 F 0.6811 0.6754 0.0200
11 F 0.7848 0.2075 0.7454
12 F 0.7885 0.2157 0.2523

Output
**VASP energy**: -3.874 eV per atom
**SG**: P-1
**Raw formation energy**: -1.378 eV per atom



[6]
The following is a DFT calculation (PBE) of a geometry-optimized Ac2ScPd structure.

a b c (Å): 3.9416 3.9416 7.9677
angles (deg): 90.00 90.00 90.00
Element x y z (fractional)
1 Ac 0.0000 0.0000 0.2233
2 Ac 0.0000 0.0000 0.7767
3 Sc 0.5000 0.5000 0.5000
4 Pd 0.5000 0.5000 0.0000

Output
**VASP energy**: -5.203 eV per atom
**Excess energy over the best structure of this formula in the dataset**: 0 meV/atom
**SG**: P4/mmm
**Energy of formation**: -268 meV/atom